Entry 1:
Material: P2AuS2
Method: DFT, PBE
State: relaxed

Structure (extended XYZ):
```
5
Lattice="3.276 -0.015 -0.003 -1.311 5.188 0.004 -0.152 -0.553 7.357" Properties=species:S:1:pos:R:3 pbc="T T T"
S 1.777 0.447 0.740
S 0.045 2.198 5.230
P 0.202 0.891 2.204
P 1.678 1.984 3.799
Au 1.238 3.755 2.334
```

Properties
raw formation energy = 0.120 eV per atom
uncorrected energy = -4.350 eV/atom
SG = P1 (1)


Entry 2:
Material: Mg2MoCCl
Method: DFT, PBE
State: relaxed

Structure (extended XYZ):
```
5
Lattice="5.376 0.000 0.000 0.000 4.454 0.000 0.000 0.000 5.376" Properties=species:S:1:pos:R:3 pbc="T T T"
Mo 0.000 0.000 0.000
C 2.688 2.227 2.688
Mg 2.688 0.000 0.000
Mg 0.000 0.000 2.688
Cl 0.000 2.227 0.000
```

Properties
raw formation energy = 1.712 eV per atom
uncorrected energy = -3.306 eV/atom
SG = P4/mmm (123)


Entry 3:
Material: CuNi
Method: DFT, PBE
State: relaxed

Structure (extended XYZ):
```
16
Lattice="-0.061 6.482 3.018 -2.716 0.956 -2.108 -4.611 -2.319 4.888" Properties=species:S:1:pos:R:3 pbc="T T T"
Cu -3.033 4.744 4.549
Cu -1.840 0.469 1.073
Cu -0.706 2.659 0.605
Cu -1.869 3.711 2.581
Cu -6.681 2.460 5.192
Cu -5.518 1.408 3.217
Cu -4.354 0.375 1.249
Cu -5.548 4.650 4.725
Ni -4.159 -0.692 3.534
Ni -5.340 3.617 7.010
Ni -2.047 1.502 -1.212
Ni -4.377 3.586 2.735
Ni -3.227 2.555 0.785
Ni -4.161 2.564 5.013
Ni -3.010 1.533 3.063
Ni -3.229 5.810 2.264
```

Properties
uncorrected energy = -4.908 eV/atom
energy of formation = 0.0307 eV per atom
SG = Pnma (62)


Entry 4:
Material: Mg2ZnCoN
Method: DFT, PBE
State: relaxed

Structure (extended XYZ):
```
5
Lattice="4.347 0.000 0.000 0.000 4.347 0.000 0.000 0.000 3.631" Properties=species:S:1:pos:R:3 pbc="T T T"
Mg 2.173 0.000 0.000
Mg 0.000 2.173 0.000
Co 0.000 0.000 1.815
Zn 2.173 2.173 1.815
N 0.000 0.000 0.000
```

Properties
raw formation energy = -0.219 eV per atom
uncorrected energy = -4.198 eV/atom
SG = P4/mmm (123)


Entry 5:
Material: MgTc2Sb
Method: DFT, PBE
State: relaxed

Structure (extended XYZ):
```
4
Lattice="-3.213 -3.838 -1.145 -0.777 -5.061 0.376 -2.706 -0.770 3.715" Properties=species:S:1:pos:R:3 pbc="T T T"
Sb -5.084 -7.161 2.382
Tc -6.573 -9.549 2.846
Tc -1.808 -2.563 0.833
Mg -3.276 -4.900 1.304
```

Properties
raw formation energy = 0.163 eV per atom
uncorrected energy = -6.450 eV/atom
SG = Cm (8)


Entry 6:
Material: CrInCu2Rh
Method: DFT, PBE
State: relaxed

Structure (extended XYZ):
```
5
Lattice="-3.085 1.410 -3.346 0.630 -3.866 -2.210 -3.569 -1.985 2.455" Properties=species:S:1:pos:R:3 pbc="T T T"
Rh 0.000 0.000 0.000
Cu -1.543 0.705 -1.673
Cu -1.785 -0.992 1.227
In -3.013 -2.220 -1.551
Cr 0.315 -1.933 -1.105
```

Properties
uncorrected energy = -4.800 eV/atom
energy of formation = 0.7814 eV per atom
SG = P4/mmm (123)


Entry 7:
Material: Ho3MnTl4Te8
Method: DFT, PBE
State: relaxed

Structure (extended XYZ):
```
16
Lattice="-6.251 6.131 -0.504 -5.523 -6.029 -4.836 2.959 -2.612 7.833" Properties=species:S:1:pos:R:3 pbc="T T T"
Te -3.978 -4.053 0.043
Te -3.118 -0.295 -1.376
Te -1.653 -1.472 2.589
Te -4.837 1.543 2.449
Te -7.162 -1.038 -0.096
Te -6.382 2.906 -1.639
Te -2.433 -5.416 4.132
Te -5.697 -2.215 3.868
Ho -4.407 -1.255 1.246
Ho -5.887 0.051 -2.670
Ho -1.282 -4.320 1.498
Tl 0.000 0.000 0.000
Tl 1.479 -1.306 3.916
Tl -1.646 1.759 3.664
Tl -3.125 3.065 -0.252
Mn -2.761 -3.014 -2.418
```

Properties
raw formation energy = -0.810 eV per atom
uncorrected energy = -4.404 eV/atom
SG = R-3m (166)


Entry 8:
Material: CaHf2Zr
Method: DFT, PBE
State: relaxed

Structure (extended XYZ):
```
4
Lattice="-0.351 -4.066 3.187 -4.281 -0.714 2.824 -3.220 -3.897 -1.120" Properties=species:S:1:pos:R:3 pbc="T T T"
Ca 0.000 0.000 0.000
Hf -1.963 -2.169 1.223
Hf -5.889 -6.508 3.668
Zr -3.926 -4.339 2.445
```

Properties
uncorrected energy = -7.124 eV/atom
energy of formation = 0.4897 eV per atom
SG = Fm-3m (225)